<A>
FeBHAuC | GGA-PBE | relaxed

Cell lengths 10.1529, 2.6420, 4.5695 Å; angles 90.00, 116.63, 90.00 degrees
Last column: nearest neighbours and their distance in Å.
Atoms (fractional coordinates):
Fe (0.0000, 0.0000, 0.0000)  2 H 1.83, 2 C 1.87
Fe (0.5000, 0.5000, 0.0000)  2 H 1.83, 2 C 1.87
B (0.4499, 0.0000, 0.3353)  1 H 1.33
B (0.9499, 0.5000, 0.3353)  1 H 1.33
H (0.0750, 0.5000, 0.3101)  1 B 1.33
H (0.5750, 0.0000, 0.3101)  1 B 1.33
Au (0.2474, 0.5000, 0.0479)  2 B 2.30, 1 C 2.44, 1 H 2.53
Au (0.7474, 0.0000, 0.0479)  2 B 2.30, 1 C 2.44, 1 H 2.53
C (0.4827, 0.0000, 0.6951)  1 B 1.52
C (0.9827, 0.5000, 0.6951)  1 B 1.52

Output
DOS at the Fermi energy = 2.8 states/eV/cell
SG = Cm (8)

***

<B>
FeBHAuC | GGA-PBE | relaxed

Cell lengths 6.9215, 2.7704, 6.5369 Å; angles 90.00, 116.66, 90.00 degrees
Last column: nearest neighbours and their distance in Å.
Atoms (fractional coordinates):
Fe (0.0000, 0.0000, 0.0000)  1 H 1.64
Fe (0.5000, 0.5000, 0.0000)  1 H 1.64
B (0.2329, 0.5000, 0.0551)  2 C 1.53
B (0.7329, 0.0000, 0.0551)  2 C 1.53
H (0.3861, 0.5000, 0.7197)  1 Fe 1.64, 1 Au 1.74
H (0.8861, 0.0000, 0.7197)  1 Fe 1.64, 1 Au 1.74
Au (0.2463, 0.5000, 0.4217)  1 H 1.74
Au (0.7463, 0.0000, 0.4217)  1 H 1.74
C (0.2904, 0.0000, 0.0013)  2 B 1.53
C (0.7904, 0.5000, 0.0013)  2 B 1.53

Output
DOS at the Fermi energy = 5.2 states/eV/cell
SG = Cm (8)

***

Most stable of them? <B>.

***

<A>
FeBHAuC | GGA-PBE | relaxed

Cell lengths 4.3629, 2.6477, 4.5363 Å; angles 90.00, 93.47, 90.00 degrees
Last column: nearest neighbours and their distance in Å.
Atoms (fractional coordinates):
Fe (0.0000, 0.0000, 0.0000)  1 H 1.49
B (0.9769, 0.5000, 0.6195)  1 C 1.53
H (0.2884, 0.0000, 0.1946)  1 Fe 1.49
Au (0.4861, 0.5000, 0.7651)  2 B 2.28, 2 H 2.55
C (0.9691, 0.5000, 0.2829)  1 B 1.53

Output
DOS at the Fermi energy = 1.9 states/eV/cell
SG = Pm (6)

***

<B>
FeBHAuC | GGA-PBE | relaxed

Cell lengths 8.7858, 3.1255, 4.4023 Å; angles 90.00, 113.11, 90.00 degrees
Last column: nearest neighbours and their distance in Å.
Atoms (fractional coordinates):
Fe (0.0000, 0.0000, 0.0000)  1 H 1.61
Fe (0.5000, 0.5000, 0.0000)  1 H 1.61
B (0.2127, 0.0000, 0.9236)  1 H 1.35
B (0.7127, 0.5000, 0.9236)  1 H 1.35
H (0.1957, 0.0000, 0.2155)  1 B 1.35
H (0.6957, 0.5000, 0.2155)  1 B 1.35
Au (0.0724, 0.5000, 0.5584)  2 B 2.23, 1 C 2.25
Au (0.5724, 0.0000, 0.5584)  2 B 2.23, 1 C 2.25
C (0.3988, 0.0000, 0.0236)  1 B 1.52
C (0.8988, 0.5000, 0.0236)  1 B 1.52

Output
DOS at the Fermi energy = 3.6 states/eV/cell
SG = Cm (8)

***

Most stable of them? <B>.

***

<A>
SiBPAuC | GGA-PBE | relaxed

Cell lengths 6.9487, 3.5725, 6.5858 Å; angles 90.00, 111.72, 90.00 degrees
Last column: nearest neighbours and their distance in Å.
Atoms (fractional coordinates):
Si (0.0000, 0.0000, 0.0000)  1 C 1.91, 2 B 2.06
Si (0.5000, 0.5000, 0.0000)  1 C 1.91, 2 B 2.06
B (0.1368, 0.5000, 0.9736)  1 C 1.53
B (0.6368, 0.0000, 0.9736)  1 C 1.53
P (0.1554, 0.5000, 0.5171)  1 C 1.68
P (0.6554, 0.0000, 0.5171)  1 C 1.68
Au (0.3982, 0.5000, 0.3243)  1 B 2.35, 3 P 2.46-2.51, 1 Si 2.49
Au (0.8982, 0.0000, 0.3243)  1 B 2.35, 3 P 2.46-2.51, 1 Si 2.49
C (0.2226, 0.5000, 0.7899)  1 B 1.53, 1 P 1.68
C (0.7226, 0.0000, 0.7899)  1 B 1.53, 1 P 1.68

Output
DOS at the Fermi energy = 3.5 states/eV/cell
SG = Cm (8)

***

<B>
SiBPAuC | GGA-PBE | relaxed

Cell lengths 3.5491, 3.7297, 6.5644 Å; angles 103.72, 93.86, 114.05 degrees
Last column: nearest neighbours and their distance in Å.
Atoms (fractional coordinates):
Si (0.0000, 0.0000, 0.0000)  1 C 1.90, 2 B 2.05-2.06
B (0.3641, 0.6858, 0.9809)  1 C 1.55
P (0.0364, 0.1028, 0.5264)  1 C 1.68
Au (0.3005, 0.6011, 0.3221)  1 B 2.35, 3 P 2.46-2.57, 1 Si 2.48
C (0.1411, 0.2883, 0.7931)  1 B 1.55, 1 P 1.68

Output
DOS at the Fermi energy = 1.5 states/eV/cell
SG = P1 (1)

***

<C>
SiBPAuC | GGA-PBE | relaxed

Cell lengths 3.0829, 7.6196, 3.1135 Å; angles 90.00, 93.67, 90.00 degrees
Last column: nearest neighbours and their distance in Å.
Atoms (fractional coordinates):
Si (0.0000, 0.0000, 0.0000)  2 C 1.84
B (0.5000, 0.6723, 0.0000)  1 C 1.49
P (0.5000, 0.5284, 0.5000)  2 B 1.90
Au (0.0000, 0.2558, 0.5000)  2 Si 2.49, 2 P 2.59
C (0.5000, 0.8684, 0.0000)  1 B 1.49

Output
DOS at the Fermi energy = 1.4 states/eV/cell
SG = P2 (3)

***

Most stable of them? <C>.

***

<A>
CaBAu3 | GGA-PBE | relaxed

Cell lengths 4.5188, 4.5188, 4.5188 Å; angles 90.00, 90.00, 90.00 degrees
Last column: nearest neighbours and their distance in Å.
Atoms (fractional coordinates):
Ca (0.0000, 0.0000, 0.0000)  12 Au 3.20
B (0.5000, 0.5000, 0.5000)  6 Au 2.26
Au (0.0000, 0.5000, 0.5000)  2 B 2.26
Au (0.5000, 0.0000, 0.5000)  2 B 2.26
Au (0.5000, 0.5000, 0.0000)  2 B 2.26

Output
DOS at the Fermi energy = 1.3 states/eV/cell
SG = Pm-3m (221)

***

<B>
CaBAu3 | GGA-PBE | relaxed

Cell lengths 5.4916, 5.4916, 5.4916 Å; angles 90.00, 90.00, 90.00 degrees
Last column: nearest neighbours and their distance in Å.
Atoms (fractional coordinates):
Ca (0.0000, 0.0000, 0.0000)  6 Au 2.75
B (0.5000, 0.5000, 0.5000)  12 Au 3.88
Au (0.0000, 0.0000, 0.5000)  2 Ca 2.75
Au (0.0000, 0.5000, 0.0000)  2 Ca 2.75
Au (0.5000, 0.0000, 0.0000)  2 Ca 2.75

Output
DOS at the Fermi energy = 0.8 states/eV/cell
SG = Pm-3m (221)

***

Most stable of them? <A>.

***

<A>
CaB2Au | GGA-PBE | relaxed

Cell lengths 4.1467, 4.1467, 15.0524 Å; angles 90.00, 90.00, 90.00 degrees
Last column: nearest neighbours and their distance in Å.
Atoms (fractional coordinates):
Ca (0.0000, 0.2500, 0.3750)  4 Au 2.93, 8 B 2.99
Ca (0.0000, 0.7500, 0.6250)  4 Au 2.93, 8 B 2.99
Ca (0.5000, 0.2500, 0.1250)  4 Au 2.93, 8 B 2.99
Ca (0.5000, 0.7500, 0.8750)  4 Au 2.93, 8 B 2.99
B (0.0000, 0.0000, 0.0000)  2 B 2.07, 2 Au 2.15
B (0.0000, 0.5000, 0.0000)  2 B 2.07, 2 Au 2.15
B (0.2500, 0.2500, 0.7500)  2 B 2.07, 2 Au 2.15
B (0.2500, 0.7500, 0.2500)  2 B 2.07, 2 Au 2.15
B (0.5000, 0.0000, 0.5000)  2 B 2.07, 2 Au 2.15
B (0.5000, 0.5000, 0.5000)  2 B 2.07, 2 Au 2.15
B (0.7500, 0.2500, 0.7500)  2 B 2.07, 2 Au 2.15
B (0.7500, 0.7500, 0.2500)  2 B 2.07, 2 Au 2.15
Au (0.0000, 0.2500, 0.8750)  4 B 2.15
Au (0.0000, 0.7500, 0.1250)  4 B 2.15
Au (0.5000, 0.2500, 0.6250)  4 B 2.15
Au (0.5000, 0.7500, 0.3750)  4 B 2.15

Output
DOS at the Fermi energy = 9.1 states/eV/cell
SG = I4_1/amd (141)

***

<B>
CaB2Au | GGA-PBE | relaxed

Cell lengths 6.0564, 6.0564, 6.0564 Å; angles 90.00, 90.00, 90.00 degrees
Last column: nearest neighbours and their distance in Å.
Atoms (fractional coordinates):
Ca (0.0000, 0.0000, 0.0000)  8 B 2.62
Ca (0.0000, 0.5000, 0.5000)  8 B 2.62
Ca (0.5000, 0.0000, 0.5000)  8 B 2.62
Ca (0.5000, 0.5000, 0.0000)  8 B 2.62
B (0.2500, 0.2500, 0.2500)  4 Ca 2.62, 4 Au 2.62
B (0.2500, 0.2500, 0.7500)  4 Ca 2.62, 4 Au 2.62
B (0.2500, 0.7500, 0.2500)  4 Ca 2.62, 4 Au 2.62
B (0.2500, 0.7500, 0.7500)  4 Ca 2.62, 4 Au 2.62
B (0.7500, 0.2500, 0.2500)  4 Ca 2.62, 4 Au 2.62
B (0.7500, 0.2500, 0.7500)  4 Ca 2.62, 4 Au 2.62
B (0.7500, 0.7500, 0.2500)  4 Ca 2.62, 4 Au 2.62
B (0.7500, 0.7500, 0.7500)  4 Au 2.62, 4 Ca 2.62
Au (0.0000, 0.0000, 0.5000)  8 B 2.62
Au (0.0000, 0.5000, 0.0000)  8 B 2.62
Au (0.5000, 0.0000, 0.0000)  8 B 2.62
Au (0.5000, 0.5000, 0.5000)  8 B 2.62

Output
DOS at the Fermi energy = 8.6 states/eV/cell
SG = Fm-3m (225)

***

Most stable of them? <A>.

***

<A>
CdB3Au | GGA-PBE | relaxed

Cell lengths 4.2875, 4.2875, 4.2875 Å; angles 90.00, 90.00, 90.00 degrees
Last column: nearest neighbours and their distance in Å.
Atoms (fractional coordinates):
Cd (0.0000, 0.0000, 0.0000)  12 B 3.03
B (0.0000, 0.5000, 0.5000)  2 Au 2.14
B (0.5000, 0.0000, 0.5000)  2 Au 2.14
B (0.5000, 0.5000, 0.0000)  2 Au 2.14
Au (0.5000, 0.5000, 0.5000)  6 B 2.14

Output
DOS at the Fermi energy = 4.5 states/eV/cell
SG = Pm-3m (221)

***

<B>
CdB3Au | GGA-PBE | relaxed

Cell lengths 4.3784, 4.3784, 4.3784 Å; angles 90.00, 90.00, 90.00 degrees
Last column: nearest neighbours and their distance in Å.
Atoms (fractional coordinates):
Cd (0.0000, 0.0000, 0.0000)  6 B 2.19
B (0.0000, 0.0000, 0.5000)  2 Cd 2.19
B (0.0000, 0.5000, 0.0000)  2 Cd 2.19
B (0.5000, 0.0000, 0.0000)  2 Cd 2.19
Au (0.5000, 0.5000, 0.5000)  12 B 3.10

Output
DOS at the Fermi energy = 2.5 states/eV/cell
SG = Pm-3m (221)

***

Most stable of them? <A>.

***

<A>
CdBAu3 | GGA-PBE | relaxed

Cell lengths 5.1918, 5.1918, 5.1918 Å; angles 90.00, 90.00, 90.00 degrees
Last column: nearest neighbours and their distance in Å.
Atoms (fractional coordinates):
Cd (0.0000, 0.0000, 0.0000)  6 Au 2.60
B (0.5000, 0.5000, 0.5000)  12 Au 3.67
Au (0.0000, 0.0000, 0.5000)  2 Cd 2.60
Au (0.0000, 0.5000, 0.0000)  2 Cd 2.60
Au (0.5000, 0.0000, 0.0000)  2 Cd 2.60

Output
DOS at the Fermi energy = 1.8 states/eV/cell
SG = Pm-3m (221)

***

<B>
CdBAu3 | GGA-PBE | relaxed

Cell lengths 4.4390, 4.4390, 4.4390 Å; angles 90.00, 90.00, 90.00 degrees
Last column: nearest neighbours and their distance in Å.
Atoms (fractional coordinates):
Cd (0.0000, 0.0000, 0.0000)  12 Au 3.14
B (0.5000, 0.5000, 0.5000)  6 Au 2.22
Au (0.0000, 0.5000, 0.5000)  2 B 2.22
Au (0.5000, 0.0000, 0.5000)  2 B 2.22
Au (0.5000, 0.5000, 0.0000)  2 B 2.22

Output
DOS at the Fermi energy = 1.9 states/eV/cell
SG = Pm-3m (221)

***

Most stable of them? <B>.

***

<A>
Cd3BAu | GGA-PBE | relaxed

Cell lengths 4.6120, 4.6120, 4.6120 Å; angles 90.00, 90.00, 90.00 degrees
Last column: nearest neighbours and their distance in Å.
Atoms (fractional coordinates):
Cd (0.0000, 0.0000, 0.5000)  2 B 2.31
Cd (0.0000, 0.5000, 0.0000)  2 B 2.31
Cd (0.5000, 0.0000, 0.0000)  2 B 2.31
B (0.0000, 0.0000, 0.0000)  6 Cd 2.31
Au (0.5000, 0.5000, 0.5000)  12 Cd 3.26

Output
DOS at the Fermi energy = 1.4 states/eV/cell
SG = Pm-3m (221)

***

<B>
Cd3BAu | GGA-PBE | relaxed

Cell lengths 5.2449, 5.2449, 5.2449 Å; angles 90.00, 90.00, 90.00 degrees
Last column: nearest neighbours and their distance in Å.
Atoms (fractional coordinates):
Cd (0.0000, 0.0000, 0.5000)  2 Au 2.62
Cd (0.0000, 0.5000, 0.0000)  2 Au 2.62
Cd (0.5000, 0.0000, 0.0000)  2 Au 2.62
B (0.5000, 0.5000, 0.5000)  12 Cd 3.71
Au (0.0000, 0.0000, 0.0000)  6 Cd 2.62

Output
DOS at the Fermi energy = 2.7 states/eV/cell
SG = Pm-3m (221)

***

Most stable of them? <A>.

***

<A>
TaCdB2Au | GGA-PBE | relaxed

Cell lengths 4.2694, 4.2694, 5.5019 Å; angles 90.00, 90.00, 90.00 degrees
Last column: nearest neighbours and their distance in Å.
Atoms (fractional coordinates):
Ta (0.0000, 0.0000, 0.0000)  4 B 2.13
Cd (0.0000, 0.0000, 0.5000)  2 Ta 2.75, 4 Au 3.02
B (0.0000, 0.5000, 0.0000)  2 Ta 2.13
B (0.5000, 0.0000, 0.0000)  2 Ta 2.13
Au (0.5000, 0.5000, 0.5000)  4 Cd 3.02

Output
DOS at the Fermi energy = 2.9 states/eV/cell
SG = P4/mmm (123)

***

<B>
TaCdB2Au | GGA-PBE | relaxed

Cell lengths 4.1191, 4.1191, 5.4893 Å; angles 90.00, 90.00, 90.00 degrees
Last column: nearest neighbours and their distance in Å.
Atoms (fractional coordinates):
Ta (0.0000, 0.0000, 0.0000)  2 Cd 2.74, 4 Au 2.91
Cd (0.0000, 0.0000, 0.5000)  4 B 2.06
B (0.0000, 0.5000, 0.5000)  2 Cd 2.06
B (0.5000, 0.0000, 0.5000)  2 Cd 2.06
Au (0.5000, 0.5000, 0.0000)  4 Ta 2.91

Output
DOS at the Fermi energy = 3.8 states/eV/cell
SG = P4/mmm (123)

***

Most stable of them? <A>.

***

<A>
B3AuCl | GGA-PBE | relaxed

Cell lengths 3.9020, 3.9020, 3.9020 Å; angles 90.00, 90.00, 90.00 degrees
Last column: nearest neighbours and their distance in Å.
Atoms (fractional coordinates):
B (0.0000, 0.0000, 0.5000)  2 Cl 1.95
B (0.0000, 0.5000, 0.0000)  2 Cl 1.95
B (0.5000, 0.0000, 0.0000)  2 Cl 1.95
Au (0.5000, 0.5000, 0.5000)  12 B 2.76
Cl (0.0000, 0.0000, 0.0000)  6 B 1.95

Output
DOS at the Fermi energy = 2.6 states/eV/cell
SG = Pm-3m (221)

***

<B>
B3AuCl | GGA-PBE | relaxed

Cell lengths 4.2835, 4.2835, 4.2835 Å; angles 90.00, 90.00, 90.00 degrees
Last column: nearest neighbours and their distance in Å.
Atoms (fractional coordinates):
B (0.0000, 0.0000, 0.5000)  2 Au 2.14
B (0.0000, 0.5000, 0.0000)  2 Au 2.14
B (0.5000, 0.0000, 0.0000)  2 Au 2.14
Au (0.0000, 0.0000, 0.0000)  6 B 2.14
Cl (0.5000, 0.5000, 0.5000)  12 B 3.03

Output
DOS at the Fermi energy = 3.6 states/eV/cell
SG = Pm-3m (221)

***

Most stable of them? <B>.

***

<A>
BAuCl2 | GGA-PBE | relaxed

Cell lengths 6.6829, 6.6829, 6.6829 Å; angles 90.00, 90.00, 90.00 degrees
Last column: nearest neighbours and their distance in Å.
Atoms (fractional coordinates):
B (0.0000, 0.0000, 0.0000)  8 Cl 2.89
B (0.0000, 0.5000, 0.5000)  8 Cl 2.89
B (0.5000, 0.0000, 0.5000)  8 Cl 2.89
B (0.5000, 0.5000, 0.0000)  8 Cl 2.89
Au (0.0000, 0.0000, 0.5000)  8 Cl 2.89
Au (0.0000, 0.5000, 0.0000)  8 Cl 2.89
Au (0.5000, 0.0000, 0.0000)  8 Cl 2.89
Au (0.5000, 0.5000, 0.5000)  8 Cl 2.89
Cl (0.2500, 0.2500, 0.2500)  4 B 2.89, 4 Au 2.89
Cl (0.2500, 0.2500, 0.7500)  4 B 2.89, 4 Au 2.89
Cl (0.2500, 0.7500, 0.2500)  4 B 2.89, 4 Au 2.89
Cl (0.2500, 0.7500, 0.7500)  4 B 2.89, 4 Au 2.89
Cl (0.7500, 0.2500, 0.2500)  4 B 2.89, 4 Au 2.89
Cl (0.7500, 0.2500, 0.7500)  4 B 2.89, 4 Au 2.89
Cl (0.7500, 0.7500, 0.2500)  4 B 2.89, 4 Au 2.89
Cl (0.7500, 0.7500, 0.7500)  4 B 2.89, 4 Au 2.89

Output
DOS at the Fermi energy = 0.0 states/eV/cell
SG = Fm-3m (225)

***

<B>
BAuCl2 | GGA-PBE | relaxed

Cell lengths 3.0996, 3.0996, 30.3693 Å; angles 90.00, 90.00, 120.00 degrees
Last column: nearest neighbours and their distance in Å.
Atoms (fractional coordinates):
B (0.0000, 0.0000, 0.0000)  2 Cl 1.66
B (0.3333, 0.6667, 0.6667)  2 Cl 1.66
B (0.6667, 0.3333, 0.3333)  2 Cl 1.66
Au (0.0000, 0.0000, 0.5000)  6 Au 3.10
Au (0.3333, 0.6667, 0.1667)  6 Au 3.10
Au (0.6667, 0.3333, 0.8333)  6 Au 3.10
Cl (0.0000, 0.0000, 0.0548)  1 B 1.66
Cl (0.0000, 0.0000, 0.9452)  1 B 1.66
Cl (0.3333, 0.6667, 0.6119)  1 B 1.66
Cl (0.3333, 0.6667, 0.7215)  1 B 1.66
Cl (0.6667, 0.3333, 0.2785)  1 B 1.66
Cl (0.6667, 0.3333, 0.3881)  1 B 1.66

Output
DOS at the Fermi energy = 4.3 states/eV/cell
SG = R-3m (166)

***

Most stable of them? <B>.

***

<A>
BP2AuCl | GGA-PBE | relaxed

Cell lengths 4.7004, 4.7004, 5.7641 Å; angles 90.00, 90.00, 90.00 degrees
Last column: nearest neighbours and their distance in Å.
Atoms (fractional coordinates):
B (0.0000, 0.0000, 0.0000)  4 Cl 3.32, 8 P 3.72
P (0.0000, 0.5000, 0.5000)  2 Au 2.35
P (0.5000, 0.0000, 0.5000)  2 Au 2.35
Au (0.5000, 0.5000, 0.5000)  4 P 2.35
Cl (0.5000, 0.5000, 0.0000)  2 Au 2.88

Output
DOS at the Fermi energy = 3.8 states/eV/cell
SG = P4/mmm (123)

***

<B>
BP2AuCl | GGA-PBE | relaxed

Cell lengths 4.2815, 4.2815, 4.1907 Å; angles 90.00, 90.00, 90.00 degrees
Last column: nearest neighbours and their distance in Å.
Atoms (fractional coordinates):
B (0.0000, 0.0000, 0.0000)  2 Cl 2.10, 4 P 2.14
P (0.0000, 0.5000, 0.0000)  2 B 2.14
P (0.5000, 0.0000, 0.0000)  2 B 2.14
Au (0.5000, 0.5000, 0.5000)  8 P 3.00, 4 Cl 3.03
Cl (0.0000, 0.0000, 0.5000)  2 B 2.10

Output
DOS at the Fermi energy = 2.5 states/eV/cell
SG = P4/mmm (123)

***

Most stable of them? <B>.